No. 1
The following is a DFT calculation (PBE) of crystalline TlSn3Ge at its relaxed geometry.

The structure in POSCAR format:
```
TlSn3Ge
1.0
5.4297 0.0000 0.0000
0.0000 5.4297 0.0000
0.0000 0.0000 5.4297
Tl Sn Ge
1 3 1
Cartesian
0.0000 0.0000 0.0000
0.0000 2.7149 2.7149
2.7149 0.0000 2.7149
2.7149 2.7149 0.0000
2.7149 2.7149 2.7149
```

E above lowest polymorph	0	meV/atom
formation energy from the elements	0.394	eV/atom
M_tot	0.000	μB per formula unit
SG	Pm-3m (221)



No. 2
The following is a DFT calculation (PBE) of crystalline Ti2ZnRh3 at its relaxed geometry.

The structure in POSCAR format:
```
Ti2ZnRh3
1.0
3.1352 0.0000 0.0000
0.0000 3.1352 0.0000
0.0000 0.0000 8.9201
Ti Zn Rh
2 1 3
Cartesian
0.0000 0.0000 1.5672
0.0000 0.0000 7.3528
0.0000 0.0000 4.4600
1.5676 1.5676 0.0000
1.5676 1.5676 2.9367
1.5676 1.5676 5.9833
```

E above lowest polymorph	12	meV/atom
formation energy from the elements	-0.748	eV/atom
M_tot	0.000	μB per formula unit
SG	P4/mmm (123)